Record 1
# Co7Re

A relaxed Co7Re crystal (PBE, Alexandria).

a b c (Å): 5.0348 5.0348 5.0348
angles (deg): 60.00 60.00 60.00
Each line ends with the local moment (μB).
Fractional coordinates of all 8 atoms:
Co: 0.0000 0.5000 0.0000  1.16
Co: 0.5000 0.0000 0.0000  1.16
Co: 0.0000 0.5000 0.5000  1.16
Co: 0.5000 0.5000 0.5000  1.96
Co: 0.5000 0.0000 0.5000  1.16
Co: 0.5000 0.5000 0.0000  1.16
Co: 0.0000 0.0000 0.5000  1.16
Re: 0.0000 0.0000 0.0000  -0.05

Summary:
space-group type: Fm-3m, No. 225
E_tot: -7.68 eV per atom

Record 2
# Pm2ScAl3

A relaxed Pm2ScAl3 crystal (PBE, Alexandria).

a b c (Å): 5.8523 5.8523 5.7898
angles (deg): 90.07 120.32 119.96
Fractional coordinates of all 6 atoms:
Pm: 0.7477 0.3743 0.1220
Pm: 0.2523 0.6257 0.8780
Al: 0.5000 0.5000 0.5000
Al: 0.5000 0.0000 0.5000
Al: 0.0000 0.0000 0.5000
Sc: 0.0000 0.0000 0.0000

Summary:
space-group type: R-3m, No. 166
polymorph energy (0 for the lowest one): 0.0 meV/atom
E_tot: -4.93 eV per atom

Record 3
# CoTc2Ir2

A relaxed CoTc2Ir2 crystal (PBE, Alexandria).

a b c (Å): 3.4664 3.4664 6.9133
angles (deg): 75.48 75.48 90.00
Fractional coordinates of all 5 atoms:
Co: 0.0000 0.0000 0.0000
Ir: 0.5953 0.5953 0.8095
Ir: 0.4047 0.4047 0.1905
Tc: 0.2500 0.7500 0.5000
Tc: 0.7500 0.2500 0.5000

Summary:
space-group type: I4/mmm, No. 139
polymorph energy (0 for the lowest one): 669.0 meV/atom
E_tot: -8.53 eV per atom

Record 4
# Tc5Mo3Pt12

A relaxed Tc5Mo3Pt12 crystal (PBE, Alexandria).

a b c (Å): 12.7383 12.7383 12.7383
angles (deg): 109.47 109.47 109.47
Fractional coordinates of all 80 atoms:
Tc: 0.1250 0.3750 0.2500
Tc: 0.0000 0.0000 0.5000
Tc: 0.0000 0.0000 0.0000
Tc: 0.5000 0.5000 0.5000
Tc: 0.1250 0.7500 0.3750
Tc: 0.8750 0.2500 0.6250
Tc: 0.0000 0.5000 0.0000
Tc: 0.5000 0.5000 0.0000
Tc: 0.0000 0.5000 0.5000
Tc: 0.6250 0.8750 0.2500
Tc: 0.2500 0.3750 0.6250
Tc: 0.7500 0.1250 0.8750
Tc: 0.3750 0.2500 0.1250
Tc: 0.7500 0.6250 0.3750
Tc: 0.6250 0.7500 0.8750
Tc: 0.3750 0.1250 0.7500
Tc: 0.2500 0.8750 0.1250
Tc: 0.5000 0.0000 0.0000
Tc: 0.5000 0.0000 0.5000
Tc: 0.8750 0.6250 0.7500
Pt: 0.7717 0.4406 0.3614
Pt: 0.2283 0.5594 0.6386
Pt: 0.8310 0.9208 0.0594
Pt: 0.6386 0.5792 0.9103
Pt: 0.5792 0.6386 0.4103
Pt: 0.0792 0.1690 0.4406
Pt: 0.0897 0.9208 0.3614
Pt: 0.6690 0.4406 0.5792
Pt: 0.0594 0.4208 0.8310
Pt: 0.4406 0.7717 0.8614
Pt: 0.8614 0.2717 0.4406
Pt: 0.9208 0.0897 0.8614
Pt: 0.3310 0.7717 0.4103
Pt: 0.1690 0.0792 0.9406
Pt: 0.3310 0.5594 0.4208
Pt: 0.9103 0.0792 0.6386
Pt: 0.3614 0.4208 0.0897
Pt: 0.4103 0.2717 0.3310
Pt: 0.0897 0.1690 0.2283
Pt: 0.6386 0.0594 0.2283
Pt: 0.1386 0.4103 0.0792
Pt: 0.7717 0.3310 0.9103
Pt: 0.1690 0.0897 0.7283
Pt: 0.5792 0.9406 0.6690
Pt: 0.5897 0.7283 0.6690
Pt: 0.1386 0.7283 0.5594
Pt: 0.4208 0.0594 0.3310
Pt: 0.5594 0.2283 0.1386
Pt: 0.0792 0.9103 0.1386
Pt: 0.5594 0.3310 0.9208
Pt: 0.9406 0.3614 0.2717
Pt: 0.5897 0.8614 0.4208
Pt: 0.3614 0.9406 0.7717
Pt: 0.7283 0.5897 0.1690
Pt: 0.0594 0.6386 0.7283
Pt: 0.6690 0.2283 0.5897
Pt: 0.7283 0.1386 0.0594
Pt: 0.2717 0.4103 0.8310
Pt: 0.4208 0.3614 0.5897
Pt: 0.9103 0.8310 0.7717
Pt: 0.8310 0.9103 0.2717
Pt: 0.2283 0.6690 0.0897
Pt: 0.9406 0.5792 0.1690
Pt: 0.2717 0.8614 0.9406
Pt: 0.4103 0.1386 0.5792
Pt: 0.4406 0.6690 0.0792
Pt: 0.8614 0.5897 0.9208
Pt: 0.9208 0.8310 0.5594
Mo: 0.7500 0.8750 0.6250
Mo: 0.8750 0.7500 0.1250
Mo: 0.7500 0.3750 0.1250
Mo: 0.8750 0.1250 0.2500
Mo: 0.6250 0.3750 0.7500
Mo: 0.2500 0.6250 0.8750
Mo: 0.1250 0.2500 0.8750
Mo: 0.1250 0.8750 0.7500
Mo: 0.6250 0.2500 0.3750
Mo: 0.3750 0.7500 0.6250
Mo: 0.3750 0.6250 0.2500
Mo: 0.2500 0.1250 0.3750

Summary:
space-group type: Ia-3d, No. 230
E_tot: -7.24 eV per atom

Record 5
# SrPu2Sn2Au2

A relaxed SrPu2Sn2Au2 crystal (PBE, Alexandria).

a b c (Å): 4.7941 4.7941 9.7857
angles (deg): 75.82 75.82 60.00
Each line ends with the local moment (μB).
Fractional coordinates of all 7 atoms:
Sn: 0.7411 0.7411 0.7767  -0.06
Sn: 0.2589 0.2589 0.2233  -0.06
Pu: 0.1436 0.1436 0.5692  5.34
Pu: 0.8564 0.8564 0.4308  5.34
Au: 0.4355 0.4355 0.6936  -0.02
Au: 0.5645 0.5645 0.3064  -0.02
Sr: 0.0000 0.0000 0.0000  -0.01

Summary:
space-group type: R-3m, No. 166
E_tot: -6.88 eV per atom

Record 6
# La6Pm2PrMg

A relaxed La6Pm2PrMg crystal (PBE, Alexandria).

a b c (Å): 9.6145 8.7738 8.7738
angles (deg): 104.70 96.00 96.00
Fractional coordinates of all 20 atoms:
Pr: 0.7500 0.0693 0.9307
Pr: 0.2500 0.9307 0.0693
La: 0.0982 0.6752 0.4363
La: 0.6722 0.9657 0.5428
La: 0.5982 0.4363 0.6752
La: 0.9018 0.3248 0.5637
La: 0.3278 0.0343 0.4572
La: 0.4204 0.2642 0.9203
La: 0.0796 0.0797 0.7358
La: 0.5796 0.7358 0.0797
La: 0.9204 0.9203 0.2642
La: 0.1722 0.5428 0.9657
La: 0.4018 0.5637 0.3248
La: 0.8278 0.4572 0.0343
Pm: 0.9052 0.7351 0.7985
Pm: 0.5948 0.2015 0.2649
Pm: 0.4052 0.7985 0.7351
Pm: 0.0948 0.2649 0.2015
Mg: 0.2500 0.4019 0.5981
Mg: 0.7500 0.5981 0.4019

Summary:
space-group type: C2/c, No. 15
E_tot: -4.46 eV per atom